# 1
PBE-GGA YTa2Co, relaxed; uncorrected energy = -8.759 eV per atom; ΔE to the lowest computed polymorph = 491 meV/atom; formation energy from the elements = 0.559 eV per atom
1.0
0.0000 3.2762 3.2762
3.2762 0.0000 3.2762
3.2762 3.2762 0.0000
Y Ta Co
1 2 1
Direct
0.0000 0.0000 0.0000
0.2500 0.2500 0.2500
0.7500 0.7500 0.7500
0.5000 0.5000 0.5000

=====

# 2
PBE-GGA YTaCo10, relaxed; uncorrected energy = -7.464 eV per atom; formation energy from the elements = -0.016 eV per atom
1.0
3.9750 0.0000 0.0000
0.0000 4.7646 0.0000
0.0000 0.0000 8.2861
Y Ta Co
1 1 10
Direct
0.0000 0.0000 0.0000
0.0000 0.5000 0.5000
0.0000 0.0000 0.3464
0.0000 0.0000 0.6536
0.0000 0.5000 0.1849
0.0000 0.5000 0.8151
0.5000 0.0000 0.5000
0.5000 0.2562 0.2600
0.5000 0.2562 0.7400
0.5000 0.5000 0.0000
0.5000 0.7438 0.2600
0.5000 0.7438 0.7400

=====

# 3
PBE-GGA Y2TaCo, relaxed; uncorrected energy = -7.907 eV per atom; ΔE to the lowest computed polymorph = 22 meV/atom; formation energy from the elements = 0.064 eV per atom
1.0
3.5169 0.0000 0.0000
0.0000 2.3967 5.5149
0.0000 -2.3967 5.5149
Y Ta Co
2 1 1
Direct
0.0000 0.0000 0.0000
0.5000 0.2977 0.2977
0.5000 0.6022 0.6022
0.0000 0.7405 0.7405

=====

# 4
PBE-GGA Y2TaCo, relaxed; uncorrected energy = -7.557 eV per atom; ΔE to the lowest computed polymorph = 372 meV/atom; formation energy from the elements = 0.414 eV per atom
1.0
1.6458 0.9502 9.2018
-1.6458 0.9502 9.2018
0.0000 -1.9004 9.2018
Y Ta Co
2 1 1
Direct
0.2386 0.2386 0.2386
0.7614 0.7614 0.7614
0.0000 0.0000 0.0000
0.5000 0.5000 0.5000

=====

# 5
PBE-GGA Y2TaCo, relaxed; uncorrected energy = -7.611 eV per atom; ΔE to the lowest computed polymorph = 319 meV/atom; formation energy from the elements = 0.361 eV per atom
1.0
-1.7308 2.4489 5.0036
1.7308 -2.4489 5.0036
1.7308 2.4489 -5.0036
Y Ta Co
2 1 1
Direct
0.2012 0.2012 0.0000
0.7988 0.7988 0.0000
0.5000 0.0000 0.5000
0.0000 0.5000 0.5000

=====

# 6
PBE-GGA YTa2Co, relaxed; uncorrected energy = -9.177 eV per atom; ΔE to the lowest computed polymorph = 73 meV/atom; formation energy from the elements = 0.142 eV per atom
1.0
-1.5397 2.4029 5.0937
1.5397 -2.4029 5.0937
1.5397 2.4029 -5.0937
Y Ta Co
1 2 1
Direct
0.0000 0.0000 0.0000
0.2835 0.7835 0.5000
0.7165 0.2165 0.5000
0.5000 0.5000 0.0000

=====

# 7
PBE-GGA YTa2Co2, relaxed; uncorrected energy = -8.838 eV per atom; ΔE to the lowest computed polymorph = 200 meV/atom; formation energy from the elements = 0.038 eV per atom
1.0
7.4496 0.0000 0.0000
0.0000 7.4496 0.0000
0.0000 0.0000 3.0444
Y Ta Co
2 4 4
Direct
0.0000 0.0000 0.0000
0.5000 0.5000 0.0000
0.1550 0.3450 0.5000
0.3450 0.8450 0.5000
0.6550 0.1550 0.5000
0.8450 0.6550 0.5000
0.1237 0.6237 0.0000
0.3763 0.1237 0.0000
0.6237 0.8763 0.0000
0.8763 0.3763 0.0000

=====

# 8
PBE-GGA Y2TaCo, relaxed; uncorrected energy = -7.489 eV per atom; ΔE to the lowest computed polymorph = 441 meV/atom; formation energy from the elements = 0.483 eV per atom
1.0
0.0000 3.5289 3.5289
3.5289 0.0000 3.5289
3.5289 3.5289 0.0000
Y Ta Co
2 1 1
Direct
0.2500 0.2500 0.2500
0.7500 0.7500 0.7500
0.0000 0.0000 0.0000
0.5000 0.5000 0.5000

=====

# 9
PBE-GGA Y4TaCo, relaxed; uncorrected energy = -6.383 eV per atom; formation energy from the elements = 1.086 eV per atom
1.0
0.0000 4.2789 4.2789
4.2789 0.0000 4.2789
4.2789 4.2789 0.0000
Y Ta Co
4 1 1
Direct
0.3755 0.3755 0.3755
0.3755 0.3755 0.8734
0.3755 0.8734 0.3755
0.8734 0.3755 0.3755
0.7500 0.7500 0.7500
0.0000 0.0000 0.0000

=====

# 10
PBE-GGA YTa2Co2, relaxed; uncorrected energy = -9.038 eV per atom; ΔE to the lowest computed polymorph = 0 meV/atom; formation energy from the elements = -0.162 eV per atom
1.0
-2.1353 2.1353 4.9532
2.1353 -2.1353 4.9532
2.1353 2.1353 -4.9532
Y Ta Co
1 2 2
Direct
0.0000 0.0000 0.0000
0.2500 0.7500 0.5000
0.7500 0.2500 0.5000
0.3780 0.3780 0.0000
0.6220 0.6220 0.0000

=====

# 11
PBE-GGA Y2TaCo, relaxed; uncorrected energy = -7.433 eV per atom; ΔE to the lowest computed polymorph = 496 meV/atom; formation energy from the elements = 0.539 eV per atom
1.0
0.0000 3.4548 3.4548
3.4548 0.0000 3.4548
3.4548 3.4548 0.0000
Y Ta Co
2 1 1
Direct
0.0000 0.0000 0.0000
0.2500 0.2500 0.2500
0.7500 0.7500 0.7500
0.5000 0.5000 0.5000

=====

# 12
PBE-GGA Y2TaCo, relaxed; uncorrected energy = -7.742 eV per atom; ΔE to the lowest computed polymorph = 187 meV/atom; formation energy from the elements = 0.230 eV per atom
1.0
3.2894 0.0000 0.0000
0.0000 3.2894 0.0000
0.0000 0.0000 7.8935
Y Ta Co
2 1 1
Direct
0.0000 0.0000 0.2146
0.0000 0.0000 0.7854
0.5000 0.5000 0.5000
0.5000 0.5000 0.0000